Ru3Rh4 after structural relaxation. Source: Alexandria via LeMat-Bulk, functional PBE.

Its crystal system is tetragonal. The relative energy among the computed polymorphs comes out at 0.994 eV/f.u. The calculation puts the total DFT energy (no corrections) at -7.836 eV per atom. For the calculated formation energy, the calculation gives 2.38 eV/f.u.

It has space group I4/mmm (No. 139), with a = 3.2732 Å, b = 3.2732 Å, c = 18.9436 Å, α = 90.00°, β = 90.00° and γ = 90.00°. The inequivalent atoms are Ru at (0.0000, 0.0000, 0.0000), Ru at (0.0000, 0.0000, 0.2854), Rh at (0.0000, 0.0000, 0.1435) and Rh at (0.0000, 0.0000, 0.4286).

NaTiPb2 after structural relaxation. Source: Alexandria via LeMat-Bulk, functional PBE.

Its crystal system is trigonal. The calculation puts the total DFT energy (no corrections) at -4.137 eV per atom. For the calculated formation energy, the calculation gives 0.08 eV/f.u.

It has space group R-3m (No. 166, hexagonal axes), with a = 3.3763 Å, b = 3.3763 Å, c = 30.3297 Å, α = 90.00°, β = 90.00° and γ = 120.00°. The inequivalent atoms are Na at (0.0000, 0.0000, 0.0000), Ti at (0.0000, 0.0000, 0.5000) and Pb at (0.0000, 0.0000, 0.2443).

PaTaTiTc after structural relaxation. Source: Alexandria via LeMat-Bulk, functional PBE.

Its crystal system is cubic. The calculation puts the total DFT energy (no corrections) at -10.013 eV per atom. For the calculated formation energy, the calculation gives -0.44 eV/f.u.

It has space group F-43m (No. 216), with a = 6.6411 Å, b = 6.6411 Å, c = 6.6411 Å, α = 90.00°, β = 90.00° and γ = 90.00°. The inequivalent atoms are Pa at (0.0000, 0.0000, 0.0000), Ta at (0.2500, 0.2500, 0.2500), Ti at (0.0000, 0.0000, 0.5000) and Tc at (0.2500, 0.2500, 0.7500).

NpRhN after structural relaxation. Source: Alexandria via LeMat-Bulk, functional PBE.

The calculation puts the energy relative to the elements, uncorrected at -249 meV per atom. Its crystal system is tetragonal. The calculation puts the total DFT energy (no corrections) at -9.788 eV per atom.

It has space group I4mm (No. 107), with a = 3.2453 Å, b = 3.2453 Å, c = 9.2201 Å, α = 90.00°, β = 90.00° and γ = 90.00°. The inequivalent atoms are Np at (0.0000, 0.0000, 0.0000), Rh at (0.0000, 0.0000, 0.2784) and N at (0.0000, 0.0000, 0.5163).

NbInPdW2 after structural relaxation. Source: Alexandria via LeMat-Bulk, functional PBE.

Its crystal system is tetragonal. The relative energy among the computed polymorphs comes out at 1.481 eV/f.u. The calculation puts the total DFT energy (no corrections) at -6.554 eV per atom. For the calculated formation energy, the calculation gives 11.14 eV/f.u.

It has space group P4/mmm (No. 123), with a = 4.8934 Å, b = 4.8934 Å, c = 4.6304 Å, α = 90.00°, β = 90.00° and γ = 90.00°. The inequivalent atoms are Nb at (0.0000, 0.0000, 0.0000), In at (0.5000, 0.5000, 0.5000), Pd at (0.5000, 0.5000, 0.0000) and W at (0.0000, 0.5000, 0.5000).

NdDy2Y6Tm3 after structural relaxation. Source: Alexandria via LeMat-Bulk, functional PBE.

Its crystal system is monoclinic. The calculation puts the total DFT energy (no corrections) at -5.490 eV per atom. For the calculated formation energy, the calculation gives 0.29 eV/f.u.

It has space group C2/m (No. 12), with a = 6.1609 Å, b = 10.6586 Å, c = 11.7819 Å, α = 90.00°, β = 100.00° and γ = 90.00°. The inequivalent atoms are Nd at (0.0000, 0.0000, 0.0000), Dy at (0.0000, 0.3334, 0.0000), Y at (0.2484, 0.3330, 0.7473), Y at (0.2493, 0.0000, 0.7473), Tm at (0.0000, 0.1670, 0.5000) and Tm at (0.0000, 0.5000, 0.5000).

Cd2HgPt2 after structural relaxation. Source: Alexandria via LeMat-Bulk, functional PBE.

Its crystal system is tetragonal. The relative energy among the computed polymorphs comes out at 1.000 eV/f.u. The calculation puts the total DFT energy (no corrections) at -2.842 eV per atom. For the calculated formation energy, the calculation gives 0.00 eV/f.u.

It has space group I4/mmm (No. 139), with a = 4.0376 Å, b = 4.0376 Å, c = 12.8137 Å, α = 90.00°, β = 90.00° and γ = 90.00°. The inequivalent atoms are Cd at (0.0000, 0.5000, 0.2500), Hg at (0.0000, 0.0000, 0.0000) and Pt at (0.0000, 0.0000, 0.3989).

Dy3Ho3Mg after structural relaxation. Source: Alexandria via LeMat-Bulk, functional PBE.

Its crystal system is hexagonal. The relative energy among the computed polymorphs comes out at 0.000 eV/f.u. The calculation puts the total DFT energy (no corrections) at -4.147 eV per atom. For the calculated formation energy, the calculation gives 0.11 eV/f.u.

It has space group P6_3/m (No. 176), with a = 9.3771 Å, b = 9.3771 Å, c = 5.5731 Å, α = 90.00°, β = 90.00° and γ = 120.00°. The inequivalent atoms are Dy at (0.1024, 0.4765, 0.2500), Ho at (0.0556, 0.2401, 0.7500) and Mg at (0.3333, 0.6667, 0.7500).

ZrMo2Se after structural relaxation. Source: Alexandria via LeMat-Bulk, functional PBE.

The calculation puts the energy relative to the elements, uncorrected at 10 meV per atom. Its crystal system is trigonal. The calculation puts the total DFT energy (no corrections) at -8.413 eV per atom.

It has space group R3m (No. 160, hexagonal axes), with a = 3.3067 Å, b = 3.3067 Å, c = 23.7905 Å, α = 90.00°, β = 90.00° and γ = 120.00°. The inequivalent atoms are Zr at (0.0000, 0.0000, 0.0000), Mo at (0.0000, 0.0000, 0.2412), Mo at (0.0000, 0.0000, 0.5027) and Se at (0.0000, 0.0000, 0.7504).

Zr2AlV after structural relaxation. Source: Alexandria via LeMat-Bulk, functional PBE.

Its crystal system is triclinic. The calculation puts the total DFT energy (no corrections) at -7.640 eV per atom. For the calculated formation energy, the calculation gives -0.60 eV/f.u.

It has space group P-1 (No. 2), with a = 5.0677 Å, b = 5.6537 Å, c = 5.6656 Å, α = 107.39°, β = 92.67° and γ = 95.61°. The inequivalent atoms are Zr at (0.1649, 0.1100, 0.2887), Zr at (0.2438, 0.5623, 0.8669), Al at (0.3077, 0.6645, 0.4021) and V at (0.3735, 0.0633, 0.8161).

TbEr15In4 after structural relaxation. Source: Alexandria via LeMat-Bulk, functional PBE.

Its crystal system is tetragonal. The calculation puts the total DFT energy (no corrections) at -4.400 eV per atom. For the calculated formation energy, the calculation gives -3.97 eV/f.u.

It has space group P4/mmm (No. 123), with a = 4.8170 Å, b = 4.8170 Å, c = 24.4647 Å, α = 90.00°, β = 90.00° and γ = 90.00°. The inequivalent atoms are Tb at (0.0000, 0.0000, 0.0000), Er at (0.0000, 0.5000, 0.1048), Er at (0.0000, 0.5000, 0.3032), Er at (0.0000, 0.5000, 0.5000), Er at (0.5000, 0.5000, 0.0000), Er at (0.5000, 0.5000, 0.2049), Er at (0.5000, 0.5000, 0.4018), In at (0.0000, 0.0000, 0.2058) and In at (0.0000, 0.0000, 0.4017).

Hf4SiSn after structural relaxation. Source: Alexandria via LeMat-Bulk, functional PBE.

The calculation puts the energy relative to the elements, uncorrected at -504 meV per atom. Its crystal system is tetragonal. The relative energy among the computed polymorphs comes out at 0.000 eV/f.u. The calculation puts the total DFT energy (no corrections) at -8.711 eV per atom.

It has space group P4/mcc (No. 124), with a = 6.7162 Å, b = 6.7162 Å, c = 5.4543 Å, α = 90.00°, β = 90.00° and γ = 90.00°. The inequivalent atoms are Hf at (0.1402, 0.3323, 0.0000), Si at (0.0000, 0.0000, 0.2500) and Sn at (0.5000, 0.5000, 0.2500).